An optimized crystal structure of ZnInTe2, computed with PBE-GGA.

a = 10.5282 Å, b = 10.5282 Å, c = 10.5282 Å
α = 19.98°, β = 19.98°, γ = 19.98°
With the nearest neighbours (Å) after each atom.
Sites, in units of the cell vectors:
1 In 0.0000 0.0000 0.0000  2 Te 3.34, 6 In 3.65
2 Zn 0.5000 0.5000 0.5000  6 Te 2.78
3 Te 0.8921 0.8921 0.8921  3 Zn 2.78
4 Te 0.1079 0.1079 0.1079  3 Zn 2.78

Computed properties:
formation energy without anion corrections = 0.03 eV per atom
space-group type = R-3m (166)
magnetic moment = 0.000 μB/atom
VASP energy = -2.54 eV per atom


An optimized crystal structure of KCuRuO4, computed with PBE-GGA.

a = 5.5022 Å, b = 5.5641 Å, c = 7.6566 Å
α = 90.00°, β = 120.77°, γ = 90.00°
With the nearest neighbours (Å) after each atom.
Sites, in units of the cell vectors:
1 K 0.4003 0.2500 0.0831  1 O 2.55
2 K 0.5997 0.7500 0.9169  1 O 2.55
3 O 0.6149 0.7500 0.5894  1 Ru 1.86, 1 Cu 1.98
4 O 0.4594 0.7500 0.2304  1 Ru 1.93, 1 Cu 1.95
5 O 0.9280 0.5037 0.3217  2 Ru 2.00-2.03, 1 Cu 2.05
6 O 0.0720 0.0037 0.6783  2 Ru 2.00-2.03, 1 Cu 2.05
7 O 0.5406 0.2500 0.7696  1 Ru 1.93, 1 Cu 1.95
8 O 0.9280 0.9963 0.3217  2 Ru 2.00-2.03, 1 Cu 2.05
9 O 0.0720 0.4963 0.6783  2 Ru 2.00-2.03, 1 Cu 2.05
10 O 0.3851 0.2500 0.4106  1 Ru 1.86, 1 Cu 1.98
11 Ru 0.1656 0.2500 0.5313  6 O 1.86-2.03
12 Ru 0.8344 0.7500 0.4687  6 O 1.86-2.03
13 Cu 0.2243 0.7500 0.3532  4 O 1.95-2.05
14 Cu 0.7757 0.2500 0.6468  4 O 1.95-2.05

Computed properties:
formation energy without anion corrections = -0.85 eV per atom
space-group type = P2_1/m (11)
magnetic moment = 0.000 μB/atom
VASP energy = -5.75 eV per atom


An optimized crystal structure of BeAgOs2, computed with PBE-GGA.

a = 4.9515 Å, b = 4.9515 Å, c = 4.9515 Å
α = 145.71°, β = 127.32°, γ = 64.38°
With the nearest neighbours (Å) after each atom.
Sites, in units of the cell vectors:
1 Os 0.7572 0.2572 0.5000  4 Be 2.64, 6 Os 2.67-2.94, 4 Ag 2.80-2.84
2 Os 0.0242 0.0242 0.0000  2 Be 2.37
3 Ag 0.4716 0.4716 0.0000  2 Be 2.38
4 Be 0.2470 0.7470 0.5000  6 Os 2.37-2.64, 2 Ag 2.38

Computed properties:
space-group type = Imm2 (44)
magnetic moment = 0.000 μB/atom
VASP energy = -6.76 eV per atom
DFT formation energy = 0.495 eV/atom


An optimized crystal structure of NdHoRu, computed with PBE-GGA.

a = 7.6622 Å, b = 8.7972 Å, c = 8.8326 Å
α = 119.87°, β = 115.71°, γ = 90.00°
With the nearest neighbours (Å) after each atom.
Sites, in units of the cell vectors:
1 Ho 0.0088 0.5000 0.0000  4 Ru 2.90-2.94
2 Ho 0.4978 0.3723 0.7445  4 Ru 2.90-2.95
3 Ho 0.7533 0.1279 0.2555  4 Ru 2.90-2.95
4 Ho 0.7533 0.6277 0.2555  4 Ru 2.90-2.95
5 Ho 0.0088 0.0000 0.0000  4 Ru 2.90-2.94
6 Ho 0.4978 0.8721 0.7445  4 Ru 2.90-2.95
7 Nd 0.1651 0.9562 0.4125  5 Ru 3.15-3.20, 6 Ho 3.36-3.53
8 Nd 0.3415 0.7502 0.0003  5 Ru 3.16-3.19, 6 Ho 3.37-3.53
9 Nd 0.7529 0.5439 0.5878  5 Ru 3.16-3.19, 6 Ho 3.36-3.53
10 Nd 0.3412 0.2498 0.9997  5 Ru 3.16-3.19, 6 Ho 3.37-3.53
11 Nd 0.1652 0.4561 0.4122  5 Ru 3.16-3.19, 6 Ho 3.36-3.53
12 Nd 0.7526 0.0438 0.5875  5 Ru 3.15-3.20, 6 Ho 3.36-3.53
13 Ru 0.0868 0.3336 0.6666  3 Ho 2.90, 6 Nd 3.19-3.20
14 Ru 0.4202 0.6664 0.3334  3 Ho 2.90, 6 Nd 3.19-3.20
15 Ru 0.4202 0.1670 0.3334  3 Ho 2.90, 6 Nd 3.19-3.20
16 Ru 0.7534 0.2498 0.9997  6 Ho 2.94-2.95, 3 Nd 3.15-3.16
17 Ru 0.0868 0.8330 0.6666  3 Ho 2.90, 6 Nd 3.19-3.20
18 Ru 0.7537 0.7502 0.0003  6 Ho 2.94-2.95, 3 Nd 3.15-3.16

Computed properties:
space-group type = Amm2 (38)
magnetic moment = 0.000 μB/atom
VASP energy = -6.48 eV per atom
DFT formation energy = -0.270 eV/atom


An optimized crystal structure of ErTmPa2P4, computed with PBE-GGA.

a = 3.9603 Å, b = 6.8427 Å, c = 6.8576 Å
α = 70.48°, β = 90.00°, γ = 90.00°
With the nearest neighbours (Å) after each atom.
Sites, in units of the cell vectors:
1 P 0.5000 0.2504 0.7493  2 Tm 2.79, 3 Pa 2.80, 1 Er 2.80
2 P 0.0000 0.7501 0.7494  1 Tm 2.79, 3 Pa 2.80, 2 Er 2.80
3 P 0.5000 0.7496 0.2507  2 Tm 2.79, 3 Pa 2.80, 1 Er 2.80
4 P 0.0000 0.2499 0.2506  1 Tm 2.79, 3 Pa 2.80, 2 Er 2.80
5 Er 0.5000 0.5000 0.0000  6 P 2.80
6 Pa 0.0000 0.0000 0.0000  6 P 2.80
7 Pa 0.5000 0.0000 0.5000  6 P 2.80
8 Tm 0.0000 0.5000 0.5000  6 P 2.79

Computed properties:
space-group type = P2/m (10)
magnetic moment = 0.000 μB/atom
VASP energy = -7.66 eV per atom
DFT formation energy = -1.448 eV/atom


An optimized crystal structure of LiZrIr3, computed with PBE-GGA.

a = 4.9094 Å, b = 4.9094 Å, c = 4.9094 Å
α = 90.00°, β = 90.00°, γ = 90.00°
With the nearest neighbours (Å) after each atom.
Sites, in units of the cell vectors:
1 Ir 0.5000 0.0000 0.0000  2 Zr 2.45
2 Ir 0.0000 0.5000 0.0000  2 Zr 2.45
3 Ir 0.0000 0.0000 0.5000  2 Zr 2.45
4 Li 0.5000 0.5000 0.5000  12 Ir 3.47
5 Zr 0.0000 0.0000 0.0000  6 Ir 2.45

Computed properties:
space-group type = Pm-3m (221)
magnetic moment = 0.200 μB/atom
VASP energy = -6.08 eV per atom
DFT formation energy = 1.324 eV/atom


Number 1: volume 119.2 Å³/cell. Number 2: volume 201.4 Å³/cell. Number 3: volume 53.8 Å³/cell. Number 4: volume 447.1 Å³/cell. Number 5: volume 175.2 Å³/cell. Number 6: volume 118.3 Å³/cell.